[1]
{
  "formula": "BiMoP2",
  "functional": "PBE",
  "state": "relaxed",
  "cell": [[-3.993, -1.108, 4.255], [-3.577, -2.526, -4.014], [-1.305, -6.917, 1.121]],
  "species": ["P", "P", "P", "P", "Mo", "Mo", "Bi", "Bi"],
  "fractional_positions": [[0.555, 0.125, 0.250], [0.195, 0.625, 0.250], [0.375, 0.445, 0.750], [0.875, 0.805, 0.750], [0.500, 0.500, 0.000], [0.250, 0.750, 0.500], [0.000, 0.000, 0.000], [0.750, 0.250, 0.500]],
  "sg": "No. 122",
  "rho_g_cm3": 5.997,
  "crystal_system": "tetragonal",
  "ef_mev_per_atom": 252,
  "final_energy_ev_per_cell": -49.0
}

=====

[2]
{
  "formula": "AgSn2PdAu",
  "functional": "PBE",
  "state": "relaxed",
  "cell": [[-3.305, -1.045, -1.839], [2.098, -1.184, -3.098], [0.931, -12.363, 5.355]],
  "species": ["Ag", "Ag", "Sn", "Sn", "Sn", "Sn", "Pd", "Pd", "Au", "Au"],
  "fractional_positions": [[0.000, 0.000, 0.500], [0.500, 0.500, 0.500], [0.000, 0.500, 0.717], [0.000, 0.500, 0.127], [0.500, 0.000, 0.873], [0.500, 0.000, 0.283], [0.500, 0.000, 0.073], [0.000, 0.500, 0.927], [0.500, 0.000, 0.662], [0.000, 0.500, 0.338]],
  "sg": "No. 129",
  "rho_g_cm3": 10.360,
  "crystal_system": "tetragonal",
  "ef_mev_per_atom": -185,
  "final_energy_ev_per_cell": -40.5
}

=====

[3]
{
  "formula": "Sc2TcPb2",
  "functional": "PBE",
  "state": "relaxed",
  "cell": [[7.297, 0.000, 0.000], [0.000, 7.297, 0.000], [0.000, 0.000, 4.192]],
  "species": ["Pb", "Pb", "Pb", "Pb", "Sc", "Sc", "Sc", "Sc", "Tc", "Tc"],
  "fractional_positions": [[0.356, 0.856, 0.000], [0.856, 0.644, 0.000], [0.644, 0.144, 0.000], [0.144, 0.356, 0.000], [0.167, 0.667, 0.500], [0.667, 0.833, 0.500], [0.833, 0.333, 0.500], [0.333, 0.167, 0.500], [0.000, 0.000, 0.000], [0.500, 0.500, 0.000]],
  "sg": "No. 127",
  "rho_g_cm3": 8.961,
  "crystal_system": "tetragonal",
  "ef_mev_per_atom": -16,
  "final_energy_ev_per_cell": -61.1
}

=====

[4]
{
  "formula": "Cr2BAs",
  "functional": "PBE",
  "state": "relaxed",
  "cell": [[-0.447, -5.636, -2.936], [6.335, -0.628, 0.242], [2.761, -4.189, 0.709]],
  "species": ["Cr", "Cr", "Cr", "Cr", "As", "As", "B", "B"],
  "fractional_positions": [[0.547, 0.125, 0.250], [0.203, 0.625, 0.250], [0.375, 0.453, 0.750], [0.875, 0.797, 0.750], [0.000, 0.000, 0.000], [0.750, 0.250, 0.500], [0.500, 0.500, 0.000], [0.250, 0.750, 0.500]],
  "relative_energy_mev_per_atom": 0,
  "sg": "No. 122",
  "rho_g_cm3": 6.695,
  "crystal_system": "tetragonal",
  "ef_mev_per_atom": 293,
  "final_energy_ev_per_cell": -58.8
}

=====

[5]
{
  "formula": "ScMn2ZnC",
  "functional": "PBE",
  "state": "relaxed",
  "cell": [[3.864, 0.000, 0.000], [0.000, 3.864, 0.000], [0.000, 0.000, 4.401]],
  "species": ["Sc", "Zn", "Mn", "Mn", "C"],
  "fractional_positions": [[0.000, 0.000, 0.500], [0.500, 0.500, 0.500], [0.000, 0.500, 0.000], [0.500, 0.000, 0.000], [0.000, 0.000, 0.000]],
  "sg": "No. 123",
  "rho_g_cm3": 5.869,
  "crystal_system": "tetragonal",
  "ef_mev_per_atom": -124,
  "final_energy_ev_per_cell": -35.8
}

=====

[6]
{
  "formula": "In2Sn2Pb",
  "functional": "PBE",
  "state": "relaxed",
  "cell": [[4.262, 0.000, 0.000], [0.000, 4.262, 0.000], [2.131, 2.131, 8.324]],
  "species": ["Pb", "Sn", "Sn", "In", "In"],
  "fractional_positions": [[0.000, 0.000, 0.000], [0.750, 0.250, 0.500], [0.250, 0.750, 0.500], [0.401, 0.401, 0.197], [0.599, 0.599, 0.803]],
  "relative_energy_mev_per_atom": 98,
  "sg": "No. 139",
  "rho_g_cm3": 7.405,
  "crystal_system": "tetragonal",
  "ef_mev_per_atom": 126,
  "final_energy_ev_per_cell": -16.6
}